No. 1
Below is crystalline Pr2Al3Ga6 at its relaxed geometry, with properties calculated at the PBE level.

Calculated values
Symmetry: Cmmm (65)

Cell lengths 3.9898, 7.6988, 7.6988 Å; angles 100.94, 90.00, 90.00 degrees
With the nearest neighbours (Å) after each atom.
Atoms (fractional coordinates):
Pr: 0.0000 0.2997 0.7003  12 Ga 3.26-3.61
Pr: 0.0000 0.7003 0.2997  12 Ga 3.26-3.61
Al: 0.0000 0.1984 0.1984  6 Ga 2.67-2.72, 2 Al 2.79
Al: 0.0000 0.8016 0.8016  6 Ga 2.67-2.72, 2 Al 2.79
Al: 0.5000 0.0000 0.0000  4 Ga 2.68, 4 Al 2.79
Ga: 0.5000 0.3791 0.3791  3 Ga 2.37-2.57
Ga: 0.5000 0.6209 0.6209  3 Ga 2.37-2.57
Ga: 0.5000 0.0420 0.3532  2 Ga 2.47-2.57, 3 Al 2.68-2.72
Ga: 0.5000 0.9580 0.6468  2 Ga 2.47-2.57, 3 Al 2.68-2.72
Ga: 0.5000 0.3532 0.0420  2 Ga 2.47-2.57, 3 Al 2.68-2.72
Ga: 0.5000 0.6468 0.9580  2 Ga 2.47-2.57, 3 Al 2.68-2.72

No. 2
Below is crystalline Pr2AlGa6 at its relaxed geometry, with properties calculated at the PBE level.

Calculated values
Symmetry: P-3m1 (164)

Cell lengths 5.7801, 6.0640, 6.0638 Å; angles 120.00, 90.00, 90.00 degrees
With the nearest neighbours (Å) after each atom.
Atoms (fractional coordinates):
Pr: 0.8508 0.6666 0.3333  12 Ga 3.22-3.40
Pr: 0.1492 0.3334 0.6667  12 Ga 3.22-3.40
Al: 0.0000 0.0000 0.0000  6 Ga 2.69
Ga: 0.3349 0.3566 0.1783  4 Ga 2.67-2.82, 1 Al 2.69
Ga: 0.3348 0.8216 0.6432  4 Ga 2.67-2.82, 1 Al 2.69
Ga: 0.3349 0.8217 0.1783  4 Ga 2.67-2.82, 1 Al 2.69
Ga: 0.6651 0.6434 0.8217  4 Ga 2.67-2.82, 1 Al 2.69
Ga: 0.6652 0.1784 0.3568  4 Ga 2.67-2.82, 1 Al 2.69
Ga: 0.6651 0.1783 0.8217  4 Ga 2.67-2.82, 1 Al 2.69

No. 3
Below is crystalline Pr3Al6Ga5 at its relaxed geometry, with properties calculated at the PBE level.

Calculated values
Symmetry: Pmmn (59)

Cell lengths 4.3255, 10.1257, 13.0397 Å; angles 90.00, 90.00, 90.00 degrees
With the nearest neighbours (Å) after each atom.
Atoms (fractional coordinates):
Pr: 0.0000 0.2488 0.6765  6 Ga 3.18-3.21, 7 Al 3.19-3.48
Pr: 0.5000 0.7512 0.1765  6 Ga 3.18-3.21, 7 Al 3.19-3.48
Pr: 0.5000 0.7512 0.8235  6 Ga 3.18-3.21, 7 Al 3.19-3.48
Pr: 0.0000 0.2577 0.0000  6 Ga 3.25-3.31, 10 Al 3.35-3.53
Pr: 0.5000 0.7423 0.5000  6 Ga 3.25-3.31, 10 Al 3.35-3.53
Pr: 0.0000 0.2488 0.3235  6 Ga 3.18-3.21, 7 Al 3.19-3.48
Al: 0.0000 0.9882 0.8508  4 Ga 2.62-2.82, 2 Al 2.91
Al: 0.5000 0.0118 0.6492  4 Ga 2.62-2.82, 2 Al 2.91
Al: 0.5000 0.3887 0.8295  4 Ga 2.59-2.67, 1 Al 2.66
Al: 0.5000 0.5324 0.0000  2 Al 2.66, 4 Ga 2.80
Al: 0.0000 0.4676 0.5000  2 Al 2.66, 4 Ga 2.80
Al: 0.0000 0.6113 0.6705  4 Ga 2.59-2.67, 1 Al 2.66
Al: 0.0000 0.6113 0.3295  4 Ga 2.59-2.67, 1 Al 2.66
Al: 0.5000 0.9819 0.0000  4 Ga 2.64-2.93, 4 Al 2.91
Al: 0.0000 0.9882 0.1492  4 Ga 2.62-2.82, 2 Al 2.91
Al: 0.5000 0.3887 0.1705  4 Ga 2.59-2.67, 1 Al 2.66
Al: 0.0000 0.0181 0.5000  4 Ga 2.64-2.93, 4 Al 2.91
Al: 0.5000 0.0118 0.3508  4 Ga 2.62-2.82, 2 Al 2.91
Ga: 0.0000 0.5267 0.8641  5 Al 2.61-2.80
Ga: 0.0000 0.8674 0.6653  5 Al 2.59-2.71
Ga: 0.0000 0.7868 0.0000  4 Al 2.82-2.93
Ga: 0.5000 0.4733 0.6359  5 Al 2.61-2.80
Ga: 0.5000 0.2132 0.5000  4 Al 2.82-2.93
Ga: 0.0000 0.5267 0.1359  5 Al 2.61-2.80
Ga: 0.5000 0.4733 0.3641  5 Al 2.61-2.80
Ga: 0.0000 0.8674 0.3347  5 Al 2.59-2.71
Ga: 0.5000 0.1326 0.8347  5 Al 2.59-2.71
Ga: 0.5000 0.1326 0.1653  5 Al 2.59-2.71

No. 4
Below is crystalline Pr3AlGa at its relaxed geometry, with properties calculated at the PBE level.

Calculated values
Symmetry: P6_3/mmc (194)

Cell lengths 4.9658, 8.4711, 8.4711 Å; angles 119.98, 90.00, 90.00 degrees
With the nearest neighbours (Å) after each atom.
Atoms (fractional coordinates):
Pr: 0.2500 0.8046 0.1954  2 Al 3.12, 2 Ga 3.20
Pr: 0.7500 0.1954 0.8046  2 Al 3.12, 2 Ga 3.20
Pr: 0.2500 0.8045 0.6092  2 Al 3.12, 2 Ga 3.20
Pr: 0.7500 0.1955 0.3908  2 Al 3.12, 2 Ga 3.20
Pr: 0.2500 0.3908 0.1955  2 Al 3.12, 2 Ga 3.20
Pr: 0.7500 0.6092 0.8045  2 Al 3.12, 2 Ga 3.20
Al: 0.0000 0.0000 0.0000  2 Al 2.48
Al: 0.5000 0.0000 0.0000  2 Al 2.48
Ga: 0.2500 0.3335 0.6665  6 Pr 3.20
Ga: 0.7500 0.6665 0.3335  6 Pr 3.20

| no. | DFT formation energy (eV per atom) |
| --- | --- |
| 1 | -0.29 |
| 2 | -0.51 |
| 3 | -0.45 |
| 4 | -0.15 |